Computed, not measured: a relaxed Na2In3F8 crystal at the GGA-PBE level of DFT.

```
Na2In3F8
1.0
6.2712 -2.9341 0.0000
6.2712 2.9341 0.0000
-1.9571 0.0000 10.5900
Na In F
4 6 16
Direct
0.0125 0.5508 0.6525
0.4492 0.9875 0.8475
0.5508 0.0125 0.1525
0.9875 0.4492 0.3475
0.0875 0.6945 0.9703
0.2811 0.7189 0.2500
0.3055 0.9125 0.5297
0.6945 0.0875 0.4703
0.7189 0.2811 0.7500
0.9125 0.3055 0.0297
0.0893 0.7918 0.5576
0.1258 0.1673 0.6940
0.1673 0.1258 0.1940
0.2082 0.9107 0.9424
0.2308 0.3054 0.0114
0.3054 0.2308 0.5114
0.3298 0.4361 0.8205
0.4361 0.3298 0.3205
0.5639 0.6702 0.6795
0.6702 0.5639 0.1795
0.6946 0.7692 0.4886
0.7692 0.6946 0.9886
0.7918 0.0893 0.0576
0.8327 0.8742 0.8060
0.8742 0.8327 0.3060
0.9107 0.2082 0.4424
```

Computed properties:
energy relative to the elements, uncorrected = -2.34 eV/atom
theoretical density = 4.62 g cm⁻³